Here is crystalline Dy4Er3Tm8 at its relaxed geometry from the Alexandria database. Energies are from GGA-PBE.

Structure (POSCAR):
```
Dy4Er3Tm8
1.0
-4.788 -4.467 0.937
4.673 -1.718 -7.692
7.543 -2.189 4.719
Tm Dy Er
8 4 3
direct
0.525 0.266 0.266
0.000 0.362 0.638
0.500 0.252 0.748
0.500 0.748 0.252
0.006 0.267 0.267
0.000 0.638 0.362
0.994 0.733 0.733
0.475 0.734 0.734
0.000 0.500 0.000
0.500 0.000 0.000
0.000 0.000 0.000
0.000 0.000 0.500
0.500 0.500 0.000
0.500 0.000 0.500
0.500 0.500 0.500
```

Values from the calculation:
The calculation puts the density of states at the Fermi level at 28.6 states/eV/cell. The calculation puts the formation energy at 0.409 eV per atom. Its space group is No. 12. The mass density is 8.67 Mg/m³.